# 1
PBE Pr2ErTm4Sc, relaxed; energy of formation from the pure elements = 0.0422 eV per atom; volume = 247.1 Å³/f.u.
1.0
5.004 0.000 0.000
0.000 5.004 0.000
0.000 0.000 9.869
Pr Er Tm Sc
2 1 4 1
direct
0.000 0.000 0.000
0.500 0.500 0.500
0.000 0.000 0.500
0.000 0.500 0.246
0.000 0.500 0.754
0.500 0.000 0.246
0.500 0.000 0.754
0.500 0.500 0.000

=====

# 2
PBE La2Nd3PuAs6, relaxed; energy of formation from the pure elements = -1.4343 eV per atom; volume = 334.1 Å³/f.u.
1.0
9.334 -2.144 0.000
9.334 2.144 0.000
-1.971 0.000 8.344
La Nd Pu As
2 3 1 6
direct
0.166 0.166 0.333
0.834 0.834 0.667
0.168 0.168 0.834
0.500 0.500 0.500
0.832 0.832 0.166
0.500 0.500 0.000
0.002 0.002 0.759
0.334 0.334 0.414
0.336 0.336 0.921
0.664 0.664 0.079
0.666 0.666 0.586
0.998 0.998 0.241

=====

# 3
PBE La5Nd6Pu, relaxed; energy of formation from the pure elements = 0.0493 eV per atom; volume = 422.0 Å³/f.u.
1.0
3.188 -5.528 0.000
3.188 5.528 0.000
-2.140 0.000 11.973
La Nd Pu
5 6 1
direct
0.000 0.000 0.000
0.167 0.833 0.500
0.334 0.666 0.000
0.666 0.334 0.000
0.833 0.167 0.500
0.090 0.418 0.254
0.254 0.254 0.746
0.418 0.090 0.254
0.582 0.910 0.746
0.746 0.746 0.254
0.910 0.582 0.746
0.500 0.500 0.500

=====

# 4
PBE Ti2FeRe, relaxed; energy of formation from the pure elements = -0.3827 eV per atom; volume = 56.6 Å³/f.u.
1.0
3.044 0.000 0.000
0.000 3.044 0.000
0.000 0.000 6.112
Ti Fe Re
2 1 1
direct
0.000 0.000 0.241
0.000 0.000 0.759
0.500 0.500 0.000
0.500 0.500 0.500

=====

# 5
PBE Tb2Nd3Sm6In, relaxed; energy of formation from the pure elements = -0.0383 eV per atom; volume = 392.3 Å³/f.u.
1.0
3.111 -5.405 0.000
3.111 5.405 0.000
-2.110 0.000 11.665
Tb Nd Sm In
2 3 6 1
direct
0.166 0.834 0.000
0.834 0.166 0.000
0.000 0.000 0.500
0.331 0.669 0.500
0.669 0.331 0.500
0.093 0.420 0.757
0.255 0.255 0.245
0.420 0.093 0.757
0.580 0.907 0.243
0.745 0.745 0.755
0.907 0.580 0.243
0.500 0.500 0.000

=====

# 6
PBE KZnO2, relaxed; volume = 51.9 Å³/f.u.; formation energy without anion corrections = -0.332 eV/atom
1.0
0.000 2.961 2.961
2.961 0.000 2.961
2.961 2.961 0.000
K Zn O
1 1 2
direct
0.000 0.000 0.000
0.500 0.500 0.500
0.250 0.250 0.250
0.750 0.750 0.750

=====

# 7
PBE HoAsO, relaxed; volume = 48.6 Å³/f.u.; formation energy without anion corrections = -2.108 eV/atom
1.0
3.563 0.000 0.000
0.000 3.551 0.000
-0.049 0.000 7.685
Ho As O
2 2 2
direct
0.242 0.250 0.325
0.758 0.750 0.675
0.264 0.750 0.999
0.736 0.250 0.001
0.249 0.250 0.613
0.751 0.750 0.387

=====

# 8
PBE Cd3PBr3, relaxed; volume = 242.4 Å³/f.u.; formation energy without anion corrections = -0.390 eV/atom
1.0
9.124 0.000 0.000
-4.562 7.902 0.000
0.000 0.000 6.725
Cd P Br
6 2 6
direct
0.180 0.361 0.250
0.180 0.820 0.250
0.361 0.180 0.750
0.639 0.820 0.250
0.820 0.180 0.750
0.820 0.639 0.750
0.333 0.667 0.250
0.667 0.333 0.750
0.160 0.319 0.750
0.160 0.840 0.750
0.319 0.160 0.250
0.681 0.840 0.750
0.840 0.160 0.250
0.840 0.681 0.250

=====

# 9
PBE Cu2HgAuC, relaxed; energy of formation from the pure elements = 0.5611 eV per atom; volume = 72.2 Å³/f.u.; energy above the most stable polymorph in this dataset = 0.0000 eV per atom
1.0
4.051 0.000 0.000
0.000 4.051 0.000
0.000 0.000 4.398
Cu Hg Au C
2 1 1 1
direct
0.000 0.500 0.000
0.500 0.000 0.000
0.000 0.000 0.500
0.500 0.500 0.500
0.500 0.500 0.000